Y2TaAsI | PBE-GGA | optimized geometry

Geometry as POSCAR:
```
Y2TaAsI
1.0
-4.274 -1.219 -3.406
-0.922 -4.341 2.710
-3.479 2.831 3.352
As I Y Ta
1 1 2 1
direct
0.000 0.500 0.000
0.000 0.000 0.000
0.000 0.000 0.500
0.500 0.000 0.000
0.500 0.500 0.500
```

## Properties
**Magnetic moment**: 2.9 μB/f.u.
**Calculated volume**: 163 Å³/cell
**Space-group type**: P4/mmm
**Uncorrected energy**: -0.184 hartree per atom

Fe2SbTeRu | PBE-GGA | optimized geometry

Geometry as POSCAR:
```
Fe2SbTeRu
1.0
4.713 0.000 0.000
0.000 5.928 0.000
0.000 0.000 4.713
Fe Te Sb Ru
2 1 1 1
direct
0.500 0.000 0.000
0.000 0.000 0.500
0.000 0.500 0.000
0.000 0.000 0.000
0.500 0.500 0.500
```

## Properties
**Magnetic moment**: 8.5 μB/f.u.
**Calculated volume**: 132 Å³/cell
**Space-group type**: P4/mmm
**Uncorrected energy**: -0.184 hartree per atom

ReSb2Os | PBE-GGA | optimized geometry

Geometry as POSCAR:
```
ReSb2Os
1.0
4.341 0.000 0.000
0.000 3.137 -0.011
0.000 0.085 5.538
Re Sb Os
1 2 1
direct
0.500 0.750 0.750
0.000 0.028 0.996
0.000 0.472 0.504
0.500 0.250 0.250
```

## Properties
**Magnetic moment**: 0.0 μB/f.u.
**Calculated volume**: 75 Å³/cell
**Space-group type**: P2/m
**Uncorrected energy**: -0.256 hartree per atom

SmAgGe | PBE-GGA | optimized geometry

Geometry as POSCAR:
```
SmAgGe
1.0
-3.093 -2.135 -0.353
1.794 -3.062 2.805
-2.519 3.376 1.649
Ag Ge Sm
1 1 1
direct
0.165 0.000 0.000
0.169 0.333 0.667
0.666 0.667 0.333
```

## Properties
**Formation enthalpy at 0 K**: -0.547 eV per atom
**Magnetic moment**: 0.0 μB/f.u.
**Calculated volume**: 67 Å³/cell
**Space-group type**: P3m1

NaGd2Ru | PBE-GGA | optimized geometry

Geometry as POSCAR:
```
NaGd2Ru
1.0
-2.627 -2.119 -0.613
1.359 -2.305 2.146
-4.796 3.868 7.190
Na Gd Ru
1 2 1
direct
0.500 0.500 0.500
0.000 0.000 0.176
0.000 0.000 0.824
0.500 0.500 0.000
```

## Properties
**Formation enthalpy at 0 K**: -0.187 eV per atom
**Magnetic moment**: 14.1 μB/f.u.
**Calculated volume**: 111 Å³/cell
**Space-group type**: P4/mmm

Y14TmZr | PBE-GGA | optimized geometry

Geometry as POSCAR:
```
Y14TmZr
1.0
7.029 0.943 0.000
-0.943 7.029 0.000
0.000 0.000 9.970
Zr Y Tm
1 14 1
direct
0.875 0.125 0.000
0.875 0.625 0.500
0.375 0.625 0.500
0.630 0.370 0.243
0.630 0.880 0.243
0.375 0.125 0.500
0.120 0.370 0.757
0.630 0.880 0.757
0.121 0.879 0.243
0.121 0.879 0.757
0.875 0.125 0.500
0.120 0.370 0.243
0.875 0.625 0.000
0.630 0.370 0.757
0.375 0.125 0.000
0.375 0.625 0.000
```

## Properties
**Formation enthalpy at 0 K**: 0.043 eV per atom
**Magnetic moment**: 0.0 μB/f.u.
**Calculated volume**: 501 Å³/cell
**Space-group type**: P4/mmm

- Which value of calculated volume does entry 4 give?
  67 Å³/cell

- Look up the magnetic moment of the first one.
  2.9 μB/f.u.